The following is a DFT calculation (PBE) of a relaxed Ti3NbSb crystal.

Cell lengths 4.805, 4.805, 4.805 Å; angles 90.00, 90.00, 90.00 degrees
Element x y z (fractional)
Ti  0.000  0.000  0.500
Ti  0.000  0.500  0.000
Ti  0.500  0.000  0.000
Nb  0.000  0.000  0.000
Sb  0.500  0.500  0.500

* offset from the most stable computed form: 5.10 eV/f.u.
* uncorrected formation energy: 74 kJ/mol of atoms
* space-group type: No. 221



The following is a DFT calculation (PBE) of a relaxed KMgGa3 crystal.

Cell lengths 5.666, 5.666, 5.666 Å; angles 90.00, 90.00, 90.00 degrees
Element x y z (fractional)
K  0.000  0.000  0.000
Mg  0.500  0.500  0.500
Ga  0.000  0.000  0.500
Ga  0.000  0.500  0.000
Ga  0.500  0.000  0.000

* offset from the most stable computed form: 3.88 eV/f.u.
* space-group type: No. 221
* formation enthalpy at 0 K: 1.0101 eV per atom